An optimized crystal structure of LaTbCd2Cu4, computed with PBE-GGA.

Structure (CIF):
```
data_LaTbCd2Cu4
_chemical_formula_sum 'La1 Tb1 Cd2 Cu4'
_symmetry_space_group_name_H-M 'P 1'
_symmetry_Int_Tables_number 1
_cell_length_a 4.785
_cell_length_b 4.785
_cell_length_c 6.740
_cell_angle_alpha 90.00
_cell_angle_beta 90.00
_cell_angle_gamma 90.00
loop_
_symmetry_equiv_pos_as_xyz
'x,y,z'
loop_
_atom_site_label
_atom_site_type_symbol
_atom_site_fract_x
_atom_site_fract_y
_atom_site_fract_z
_atom_site_occupancy
Cu1 Cu 0.500 0.000 0.264 1
Cd1 Cd 0.500 0.500 0.000 1
Cu2 Cu 0.000 0.500 0.736 1
Cu3 Cu 0.500 0.000 0.736 1
Tb1 Tb 0.500 0.500 0.500 1
La1 La 0.000 0.000 0.000 1
Cd2 Cd 0.000 0.000 0.500 1
Cu4 Cu 0.000 0.500 0.264 1
```

Values from the calculation:
- energy relative to the elements (eV per atom) = -0.183
- total magnetic moment (μB/cell) = 0.05
- density (g/cm3) = 8.4

=====

An optimized crystal structure of DyPaW, computed with PBE-GGA.

Structure (CIF):
```
data_DyPaW
_chemical_formula_sum 'Dy1 Pa1 W1'
_symmetry_space_group_name_H-M 'P 1'
_symmetry_Int_Tables_number 1
_cell_length_a 4.821
_cell_length_b 4.821
_cell_length_c 4.821
_cell_angle_alpha 60.00
_cell_angle_beta 60.00
_cell_angle_gamma 60.00
loop_
_symmetry_equiv_pos_as_xyz
'x,y,z'
loop_
_atom_site_label
_atom_site_type_symbol
_atom_site_fract_x
_atom_site_fract_y
_atom_site_fract_z
_atom_site_occupancy
Dy1 Dy 0.000 0.000 0.000 1
W1 W 0.250 0.250 0.250 1
Pa1 Pa 0.500 0.500 0.500 1
```

Values from the calculation:
- energy relative to the elements (eV per atom) = 0.585
- total magnetic moment (μB/cell) = 0.00
- energy above the most stable polymorph in this dataset (kcal/mol of atoms) = 0.00
- density (g/cm3) = 12.1

=====

Question: Among the records above, which one has the lowest total magnetic moment?
Answer: DyPaW